Here is a relaxed TlNiB2F8 crystal from Alexandria via LeMat-Bulk. Energies are from PBE with a Hubbard U.

Cell: 8.455 8.455 8.455 Å, 34.73 34.73 34.73°
Fractional coordinates of all 12 atoms:
Tl 0.000 0.000 0.000
Ni 0.500 0.500 0.500
B 0.240 0.240 0.240
B 0.760 0.760 0.760
F 0.057 0.525 0.755
F 0.245 0.943 0.475
F 0.300 0.300 0.300
F 0.475 0.245 0.943
F 0.525 0.755 0.057
F 0.700 0.700 0.700
F 0.755 0.057 0.525
F 0.943 0.475 0.245

Its symmetry is No. 148. The density of states at the Fermi level is 0.5711 states/eV/atom. As for the crystal system: trigonal. The calculation puts the total DFT energy (no corrections) at -61.357 eV per cell. The volume is 14.59 A^3/atom.